[1]
An optimized crystal structure of ScAgPb2, computed with GGA-PBEsol.

Properties
**DOS at the Fermi energy**: 0.498 states/eV/atom
**Theoretical density**: 10.45 g/cm³
**ΔE_f**: -208 meV per atom

Unit cell a=4.652 b=4.652 c=4.166 alpha=90.00 beta=90.00 gamma=90.00
Space group P4/mmm (No. 123)
Unique sites:
1 Sc 0.000 0.000 0.000 (multiplicity 1)
2 Ag 0.500 0.500 0.000 (multiplicity 1)
3 Pb 0.000 0.500 0.500 (multiplicity 2)

***

[2]
An optimized crystal structure of ScAgPb2, computed with GGA-PBEsol.

Properties
**DOS at the Fermi energy**: 0.570 states/eV/atom
**Theoretical density**: 9.94 g/cm³
**ΔE_f**: -130 meV per atom

Unit cell a=3.485 b=4.794 c=5.929 alpha=90.00 beta=106.93 gamma=90.00
Space group Pm (No. 6)
Unique sites:
1 Sc 0.000 0.000 0.000 (multiplicity 1)
2 Ag 0.167 0.500 0.334 (multiplicity 1)
3 Pb 0.444 0.500 0.886 (multiplicity 1)
4 Pb 0.733 0.000 0.467 (multiplicity 1)

***

[3]
An optimized crystal structure of AgPb2Se, computed with GGA-PBEsol.

Properties
**DOS at the Fermi energy**: 0.263 states/eV/atom
**Theoretical density**: 9.54 g/cm³
**Formation energy (no corrections)**: -117 meV per atom

Unit cell a=4.208 b=4.208 c=5.909 alpha=90.00 beta=90.00 gamma=90.00
Space group P4/mmm (No. 123)
Unique sites:
1 Ag 0.000 0.000 0.000 (multiplicity 1)
2 Pb 0.000 0.000 0.500 (multiplicity 1)
3 Pb 0.500 0.500 0.000 (multiplicity 1)
4 Se 0.500 0.500 0.500 (multiplicity 1)

***

[4]
An optimized crystal structure of AgPb2Se, computed with GGA-PBEsol.

Properties
**DOS at the Fermi energy**: 0.586 states/eV/atom
**Theoretical density**: 10.33 g/cm³
**Formation energy (no corrections)**: 56 meV per atom

Unit cell a=4.664 b=4.672 c=8.868 alpha=90.00 beta=90.00 gamma=90.00
Space group Immm (No. 71)
Unique sites:
1 Ag 0.000 0.000 0.000 (multiplicity 2)
2 Pb 0.000 0.500 0.251 (multiplicity 4)
3 Se 0.000 0.000 0.500 (multiplicity 2)

***

[5]
An optimized crystal structure of AgPb2Se, computed with GGA-PBEsol.

Properties
**DOS at the Fermi energy**: 0.364 states/eV/atom
**Theoretical density**: 9.75 g/cm³
**Formation energy (no corrections)**: -53 meV per atom

Unit cell a=3.9012 b=3.9012 c=23.3113 alpha=90.00 beta=90.00 gamma=120.00
Space group R3m (No. 160, hexagonal axes)
Unique sites:
1 Ag 0.0000 0.0000 0.0000 (multiplicity 3)
2 Pb 0.0000 0.0000 0.5198 (multiplicity 3)
3 Pb 0.0000 0.0000 0.7446 (multiplicity 3)
4 Se 0.0000 0.0000 0.2677 (multiplicity 3)

***

[6]
An optimized crystal structure of Si2AgPb, computed with GGA-PBEsol.

Properties
**DOS at the Fermi energy**: 0.482 states/eV/atom
**Theoretical density**: 7.46 g/cm³
**Formation energy (no corrections)**: 380 meV per atom

Unit cell a=4.201 b=4.201 c=18.738 alpha=90.00 beta=90.00 gamma=90.00
Space group I-42d (No. 122)
Unique sites:
1 Si 0.157 0.250 0.125 (multiplicity 8)
2 Ag 0.000 0.000 0.000 (multiplicity 4)
3 Pb 0.000 0.000 0.500 (multiplicity 4)

***

[7]
An optimized crystal structure of Si2AgPb, computed with GGA-PBEsol.

Properties
**DOS at the Fermi energy**: 0.473 states/eV/atom
**Theoretical density**: 7.86 g/cm³
**Formation energy (no corrections)**: 474 meV per atom

Unit cell a=3.000 b=5.139 c=10.178 alpha=90.00 beta=90.00 gamma=90.00
Space group Immm (No. 71)
Unique sites:
1 Si 0.000 0.000 0.226 (multiplicity 4)
2 Ag 0.000 0.500 0.500 (multiplicity 2)
3 Pb 0.000 0.500 0.000 (multiplicity 2)

***

[8]
An optimized crystal structure of SiAgPb, computed with GGA-PBEsol.

Properties
**DOS at the Fermi energy**: 0.512 states/eV/atom
**Theoretical density**: 9.16 g/cm³
**Formation energy (no corrections)**: 316 meV per atom

Unit cell a=3.213 b=3.213 c=12.049 alpha=90.00 beta=90.00 gamma=90.00
Space group I4mm (No. 107)
Unique sites:
1 Si 0.000 0.000 0.000 (multiplicity 2)
2 Ag 0.000 0.000 0.618 (multiplicity 2)
3 Pb 0.000 0.000 0.306 (multiplicity 2)

***

[9]
An optimized crystal structure of SiAgPb, computed with GGA-PBEsol.

Properties
**DOS at the Fermi energy**: 0.388 states/eV/atom
**Theoretical density**: 8.99 g/cm³
**Formation energy (no corrections)**: 352 meV per atom

Unit cell a=3.3367 b=3.3367 c=6.5756 alpha=90.00 beta=90.00 gamma=120.00
Space group P3m1 (No. 156)
Unique sites:
1 Si 0.0000 0.0000 0.0000 (multiplicity 1)
2 Ag 0.3333 0.6667 0.7363 (multiplicity 1)
3 Pb 0.6667 0.3333 0.3608 (multiplicity 1)

***

[10]
An optimized crystal structure of SiAgPb, computed with GGA-PBEsol.

Properties
**DOS at the Fermi energy**: 0.504 states/eV/atom
**Theoretical density**: 8.36 g/cm³
**Formation energy (no corrections)**: 399 meV per atom

Unit cell a=6.484 b=6.484 c=6.484 alpha=90.00 beta=90.00 gamma=90.00
Space group F-43m (No. 216)
Unique sites:
1 Si 0.000 0.000 0.000 (multiplicity 4)
2 Ag 0.250 0.250 0.250 (multiplicity 4)
3 Pb 0.000 0.000 0.500 (multiplicity 4)

***

[11]
An optimized crystal structure of Ag2Sn2Pb, computed with GGA-PBEsol.

Properties
**DOS at the Fermi energy**: 0.419 states/eV/atom
**Theoretical density**: 9.59 g/cm³
**ΔE_f**: 58 meV per atom

Unit cell a=8.335 b=8.335 c=3.292 alpha=90.00 beta=90.00 gamma=90.00
Space group P4/mbm (No. 127)
Unique sites:
1 Ag 0.126 0.374 0.000 (multiplicity 4)
2 Sn 0.168 0.668 0.500 (multiplicity 4)
3 Pb 0.000 0.000 0.000 (multiplicity 2)

***

[12]
An optimized crystal structure of Ag2Sn2Pb, computed with GGA-PBEsol.

Properties
**DOS at the Fermi energy**: 0.339 states/eV/atom
**Theoretical density**: 9.15 g/cm³
**ΔE_f**: 90 meV per atom

Unit cell a=4.373 b=4.373 c=12.539 alpha=90.00 beta=90.00 gamma=90.00
Space group I4/mmm (No. 139)
Unique sites:
1 Ag 0.000 0.500 0.250 (multiplicity 4)
2 Sn 0.000 0.000 0.113 (multiplicity 4)
3 Pb 0.000 0.000 0.500 (multiplicity 2)

***

Look up the theoretical density of the tenth one.
8.36 g/cm³

***

Which formula does entry 5 have?
AgPb2Se

***

Which formula does entry 3 have?
AgPb2Se